## NaPm2Cd8 (PBE-GGA)

Data for crystalline NaPm2Cd8 at its relaxed geometry.

a b c (Å): 5.0323 6.9881 8.3525
angles (deg): 105.27 107.41 90.15
Sites, in units of the cell vectors:
1 Na 0.0000 0.0000 0.0000
2 Pm 0.2849 0.3459 0.5701
3 Pm 0.7151 0.6541 0.4299
4 Cd 0.0914 0.4481 0.1836
5 Cd 0.1663 0.8875 0.3307
6 Cd 0.3534 0.8612 0.7085
7 Cd 0.4813 0.2785 0.9653
8 Cd 0.5187 0.7215 0.0347
9 Cd 0.6466 0.1388 0.2915
10 Cd 0.8337 0.1125 0.6693
11 Cd 0.9086 0.5519 0.8164

Values from the calculation:
symmetry: P-1 (2)
formation energy from the elements: -188 meV/atom
spin magnetization: 0.0 μB/cell

---

## NaPm2Cd6 (PBE-GGA)

Data for crystalline NaPm2Cd6 at its relaxed geometry.

a b c (Å): 8.8078 8.8078 3.3993
angles (deg): 90.00 90.00 120.00
Sites, in units of the cell vectors:
1 Na 0.0000 0.0000 0.0000
2 Pm 0.3333 0.6667 0.0000
3 Pm 0.6667 0.3333 0.0000
4 Cd 0.0000 0.3313 0.5000
5 Cd 0.0000 0.6687 0.5000
6 Cd 0.3313 0.0000 0.5000
7 Cd 0.3313 0.3313 0.5000
8 Cd 0.6687 0.0000 0.5000
9 Cd 0.6687 0.6687 0.5000

Values from the calculation:
symmetry: P6/mmm (191)
formation energy from the elements: -260 meV/atom
spin magnetization: 0.0 μB/cell

---

## NaPmCd4 (PBE-GGA)

Data for crystalline NaPmCd4 at its relaxed geometry.

a b c (Å): 3.3150 5.0821 8.9088
angles (deg): 90.00 90.00 90.00
Sites, in units of the cell vectors:
1 Na 0.0000 0.0000 0.0000
2 Pm 0.0000 0.5000 0.5000
3 Cd 0.5000 0.0000 0.3314
4 Cd 0.5000 0.0000 0.6686
5 Cd 0.5000 0.5000 0.1622
6 Cd 0.5000 0.5000 0.8378

Values from the calculation:
symmetry: Pmmm (47)
formation energy from the elements: -216 meV/atom
spin magnetization: 0.0 μB/cell

---

## Na2PmCd5 (PBE-GGA)

Data for crystalline Na2PmCd5 at its relaxed geometry.

a b c (Å): 9.8932 9.8932 9.8932
angles (deg): 152.56 152.56 39.20
Sites, in units of the cell vectors:
1 Na 0.2479 0.2479 0.0000
2 Na 0.7521 0.7521 0.0000
3 Pm 0.0000 0.0000 0.0000
4 Cd 0.1230 0.6230 0.5000
5 Cd 0.3770 0.8770 0.5000
6 Cd 0.5000 0.5000 0.0000
7 Cd 0.6230 0.1230 0.5000
8 Cd 0.8770 0.3770 0.5000

Values from the calculation:
symmetry: I4/mmm (139)
formation energy from the elements: -151 meV/atom
spin magnetization: 0.0 μB/cell